1.
Compound: SrLi2P
Source: Alexandria via LeMat-Bulk
Functional: PBE
Structure: relaxed

Structure (POSCAR):
```
SrLi2P
1.0
-0.818 0.358 4.876
-3.909 -3.018 -0.424
4.439 -1.436 -1.675
Li P Sr
2 1 1
direct
0.000 0.000 0.000 Li
0.250 0.750 0.500 Li
0.500 0.500 0.000 P
0.750 0.250 0.500 Sr
```

Values from the calculation:
Density   2.6 Mg/m³
ΔH_f (0 K)   -0.372 eV/atom

2.
Compound: LaCrSb2Te
Source: Alexandria via LeMat-Bulk
Functional: PBE
Structure: relaxed

Structure (POSCAR):
```
LaCrSb2Te
1.0
5.033 0.000 0.000
0.000 5.033 0.000
0.000 0.000 5.687
Cr Te La Sb
1 1 1 2
direct
0.000 0.000 0.000 Cr
0.000 0.000 0.500 Te
0.500 0.500 0.500 La
0.000 0.500 0.000 Sb
0.500 0.000 0.000 Sb
```

Values from the calculation:
Distance to the lowest polymorph of the same formula   0.0 kJ per mole of atoms
Density   6.5 Mg/m³
Raw formation energy   -1.3 eV/f.u.

3.
Compound: LiTa2Br
Source: Alexandria via LeMat-Bulk
Functional: PBE
Structure: relaxed

Structure (POSCAR):
```
LiTa2Br
1.0
3.088 0.000 0.000
0.000 3.088 0.000
0.000 0.000 7.084
Li Ta Br
1 2 1
direct
0.500 0.500 0.750 Li
0.000 0.000 0.533 Ta
0.000 0.000 0.967 Ta
0.500 0.500 0.250 Br
```

Values from the calculation:
Distance to the lowest polymorph of the same formula   64.7 kJ per mole of atoms
Density   11.0 Mg/m³
Raw formation energy   2.9 eV/f.u.

4.
Compound: Cd2GeBMo
Source: Alexandria via LeMat-Bulk
Functional: PBE
Structure: relaxed

Structure (POSCAR):
```
Cd2GeBMo
1.0
-0.543 -2.623 3.686
-2.860 -2.424 -2.146
3.372 -2.710 -1.432
Ge Cd B Mo
1 2 1 1
direct
0.500 0.500 0.500 Ge
0.000 0.000 0.500 Cd
0.500 0.000 0.000 Cd
0.000 0.000 0.000 B
0.000 0.500 0.000 Mo
```

Values from the calculation:
Density   7.5 Mg/m³
ΔH_f (0 K)   0.673 eV/atom

5.
Compound: PmMg4Pa
Source: Alexandria via LeMat-Bulk
Functional: PBE
Structure: relaxed

Structure (POSCAR):
```
PmMg4Pa
1.0
-0.430 -0.970 -5.886
-0.748 -5.563 -2.067
-5.238 -1.623 -2.389
Mg Pa Pm
4 1 1
direct
0.625 0.625 0.126 Mg
0.625 0.625 0.625 Mg
0.625 0.126 0.625 Mg
0.126 0.625 0.625 Mg
0.250 0.250 0.250 Pa
0.000 0.000 0.000 Pm
```

Values from the calculation:
Density   5.2 Mg/m³
ΔH_f (0 K)   0.147 eV/atom

6.
Compound: ZnFeCoCu2
Source: Alexandria via LeMat-Bulk
Functional: PBE
Structure: relaxed

Structure (POSCAR):
```
ZnFeCoCu2
1.0
4.421 0.000 0.000
0.000 4.253 0.000
0.000 0.000 4.421
Cu Zn Fe Co
2 1 1 1
direct
0.500 0.000 0.000 Cu
0.000 0.000 0.500 Cu
0.500 0.500 0.500 Zn
0.000 0.500 0.000 Fe
0.000 0.000 0.000 Co
```

Values from the calculation:
Density   6.1 Mg/m³
ΔH_f (0 K)   0.922 eV/atom

7.
Compound: SmTmNp2Sb4
Source: Alexandria via LeMat-Bulk
Functional: PBE
Structure: relaxed

Structure (POSCAR):
```
SmTmNp2Sb4
1.0
-0.074 2.968 -3.236
2.888 -5.147 -4.786
-7.649 -0.383 -0.176
Sb Np Sm Tm
4 2 1 1
direct
0.000 0.745 0.249 Sb
0.000 0.255 0.751 Sb
0.500 0.255 0.252 Sb
0.500 0.745 0.748 Sb
0.000 0.500 0.500 Np
0.500 0.000 0.500 Np
0.000 0.000 0.000 Sm
0.500 0.500 0.000 Tm
```

Values from the calculation:
Density   8.8 Mg/m³
Raw formation energy   -5.2 eV/f.u.

8.
Compound: RbYTl2Cr
Source: Alexandria via LeMat-Bulk
Functional: PBE
Structure: relaxed

Structure (POSCAR):
```
RbYTl2Cr
1.0
6.091 0.000 0.000
0.000 4.918 0.000
0.000 0.000 6.091
Cr Rb Y Tl
1 1 1 2
direct
0.000 0.500 0.000 Cr
0.500 0.500 0.500 Rb
0.000 0.000 0.000 Y
0.500 0.000 0.000 Tl
0.000 0.000 0.500 Tl
```

Values from the calculation:
Density   5.8 Mg/m³
ΔH_f (0 K)   0.929 eV/atom

9.
Compound: Sc5As2
Source: Alexandria via LeMat-Bulk
Functional: PBE
Structure: relaxed

Structure (POSCAR):
```
Sc5As2
1.0
5.775 0.000 0.000
0.000 7.171 0.108
-2.888 -0.986 7.192
As Sc
4 10
direct
0.429 0.084 0.211 As
0.571 0.916 0.789 As
0.218 0.416 0.789 As
0.782 0.584 0.211 As
0.027 0.076 0.819 Sc
0.632 0.250 0.000 Sc
0.973 0.924 0.181 Sc
0.792 0.576 0.819 Sc
0.351 0.177 0.543 Sc
0.192 0.677 0.543 Sc
0.808 0.323 0.457 Sc
0.368 0.750 0.000 Sc
0.208 0.424 0.181 Sc
0.649 0.823 0.457 Sc
```

Values from the calculation:
Density   4.2 Mg/m³
ΔH_f (0 K)   -0.811 eV/atom

10.
Compound: Pm2Sm9Tm
Source: Alexandria via LeMat-Bulk
Functional: PBE
Structure: relaxed

Structure (POSCAR):
```
Pm2Sm9Tm
1.0
-4.503 0.410 -2.395
1.682 -3.114 -3.696
-5.259 -12.116 7.814
Sm Pm Tm
9 2 1
direct
0.000 0.500 0.836 Sm
0.500 0.000 0.500 Sm
0.500 0.500 0.332 Sm
0.500 0.500 0.000 Sm
0.500 0.000 0.164 Sm
0.000 0.500 0.500 Sm
0.500 0.500 0.668 Sm
0.500 0.000 0.836 Sm
0.000 0.500 0.164 Sm
0.000 0.000 0.332 Pm
0.000 0.000 0.668 Pm
0.000 0.000 0.000 Tm
```

Values from the calculation:
Density   7.5 Mg/m³
ΔH_f (0 K)   0.018 eV/atom

11.
Compound: LiRh2Br
Source: Alexandria via LeMat-Bulk
Functional: PBE
Structure: relaxed

Structure (POSCAR):
```
LiRh2Br
1.0
8.285 -0.002 -0.001
7.716 3.015 -0.001
7.716 1.453 2.642
Rh Br Li
2 1 1
direct
0.253 0.253 0.253 Rh
0.997 0.997 0.997 Rh
0.497 0.497 0.497 Br
0.753 0.753 0.753 Li
```

Values from the calculation:
Distance to the lowest polymorph of the same formula   16.0 kJ per mole of atoms
Density   7.4 Mg/m³
Raw formation energy   0.6 eV/f.u.

12.
Compound: LiAg4Pb
Source: Alexandria via LeMat-Bulk
Functional: PBE
Structure: relaxed

Structure (POSCAR):
```
LiAg4Pb
1.0
-2.336 0.272 -4.153
3.051 -3.731 -1.960
-5.067 -6.846 5.144
Li Pb Ag
2 2 8
direct
0.406 0.437 0.811 Li
0.594 0.937 0.189 Li
0.861 0.711 0.723 Pb
0.139 0.211 0.277 Pb
0.263 0.562 0.526 Ag
0.737 0.062 0.474 Ag
0.540 0.428 0.080 Ag
0.965 0.236 0.930 Ag
0.683 0.558 0.366 Ag
0.035 0.736 0.070 Ag
0.317 0.058 0.634 Ag
0.460 0.928 0.920 Ag
```

Values from the calculation:
Distance to the lowest polymorph of the same formula   6.4 kJ per mole of atoms
Density   8.9 Mg/m³
ΔH_f (0 K)   0.034 eV/atom

13.
Compound: BaVH
Source: Alexandria via LeMat-Bulk
Functional: PBE
Structure: relaxed

Structure (POSCAR):
```
BaVH
1.0
6.059 -0.002 -0.016
2.986 5.225 0.001
-0.274 0.155 4.437
H V Ba
2 2 2
direct
0.390 0.800 0.717 H
0.610 0.200 0.283 H
0.048 0.975 0.706 V
0.952 0.025 0.294 V
0.650 0.675 0.250 Ba
0.350 0.325 0.750 Ba
```

Values from the calculation:
Distance to the lowest polymorph of the same formula   5.1 kJ per mole of atoms
Density   4.5 Mg/m³

14.
Compound: Pm3Te2Se2
Source: Alexandria via LeMat-Bulk
Functional: PBE
Structure: relaxed

Structure (POSCAR):
```
Pm3Te2Se2
1.0
-1.221 3.925 1.129
-5.765 -3.160 -3.298
-1.298 -2.447 7.083
Se Pm Te
2 3 2
direct
0.627 0.255 0.891 Se
0.373 0.745 0.109 Se
0.755 0.509 0.246 Pm
0.000 0.000 0.000 Pm
0.245 0.491 0.754 Pm
0.118 0.236 0.380 Te
0.882 0.764 0.620 Te
```

Values from the calculation:
Distance to the lowest polymorph of the same formula   0.0 kJ per mole of atoms
Density   6.2 Mg/m³
Raw formation energy   -11.7 eV/f.u.

15.
Compound: CrOsW
Source: Alexandria via LeMat-Bulk
Functional: PBE
Structure: relaxed

Structure (POSCAR):
```
CrOsW
1.0
-4.016 0.697 -0.261
-1.790 0.280 -3.661
-2.507 -2.960 -1.279
Os Cr W
1 1 1
direct
0.000 0.000 0.000 Os
0.750 0.750 0.750 Cr
0.500 0.500 0.500 W
```

Values from the calculation:
Distance to the lowest polymorph of the same formula   50.4 kJ per mole of atoms
Density   14.7 Mg/m³
ΔH_f (0 K)   0.680 eV/atom

16.
Compound: LaBeSi2Ni
Source: Alexandria via LeMat-Bulk
Functional: PBE
Structure: relaxed

Structure (POSCAR):
```
LaBeSi2Ni
1.0
4.039 0.000 0.000
0.000 4.039 0.000
-2.019 -2.019 4.930
Ni La Si Be
1 1 2 1
direct
0.750 0.250 0.500 Ni
0.000 0.000 0.000 La
0.371 0.371 0.743 Si
0.629 0.629 0.257 Si
0.250 0.750 0.500 Be
```

Values from the calculation:
Density   5.4 Mg/m³
Raw formation energy   -3.2 eV/f.u.

17.
Compound: Zn2TcCl
Source: Alexandria via LeMat-Bulk
Functional: PBE
Structure: relaxed

Structure (POSCAR):
```
Zn2TcCl
1.0
2.924 0.009 0.000
-1.564 2.471 0.000
0.000 0.000 10.179
Zn Tc Cl
2 1 1
direct
0.500 0.500 0.202 Zn
0.000 0.000 0.974 Zn
0.500 0.500 0.755 Tc
0.000 0.000 0.569 Cl
```

Values from the calculation:
Distance to the lowest polymorph of the same formula   18.3 kJ per mole of atoms
Density   6.0 Mg/m³
Raw formation energy   0.9 eV/f.u.

18.
Compound: SmY7Er12
Source: Alexandria via LeMat-Bulk
Functional: PBE
Structure: relaxed

Structure (POSCAR):
```
SmY7Er12
1.0
9.134 0.000 -3.229
-4.567 7.910 -3.229
0.000 0.000 9.688
Er Y Sm
12 7 1
direct
0.000 0.253 0.748 Er
0.253 0.748 0.000 Er
0.748 0.000 0.253 Er
0.748 0.495 0.747 Er
0.000 0.747 0.252 Er
0.747 0.748 0.495 Er
0.252 0.505 0.253 Er
0.505 0.253 0.252 Er
0.253 0.252 0.505 Er
0.252 0.000 0.747 Er
0.747 0.252 0.000 Er
0.495 0.747 0.748 Er
0.500 0.500 0.500 Y
0.000 0.500 0.500 Y
0.500 0.000 0.000 Y
0.000 0.000 0.500 Y
0.000 0.500 0.000 Y
0.500 0.500 0.000 Y
0.500 0.000 0.500 Y
0.000 0.000 0.000 Sm
```

Values from the calculation:
Distance to the lowest polymorph of the same formula   47.3 kJ per mole of atoms
Density   6.6 Mg/m³
ΔH_f (0 K)   0.742 eV/atom

19.
Compound: NiHOs
Source: Alexandria via LeMat-Bulk
Functional: PBE
Structure: relaxed

Structure (POSCAR):
```
NiHOs
1.0
2.732 0.000 0.000
-1.366 2.366 0.000
0.000 0.000 12.903
Os H Ni
3 3 3
direct
0.667 0.333 0.958 Os
0.000 0.000 0.625 Os
0.333 0.667 0.292 Os
0.333 0.667 0.530 H
0.000 0.000 0.863 H
0.667 0.333 0.197 H
0.667 0.333 0.451 Ni
0.333 0.667 0.784 Ni
0.000 0.000 0.118 Ni
```

Values from the calculation:
Distance to the lowest polymorph of the same formula   12.5 kJ per mole of atoms
Density   14.9 Mg/m³